[1]
Entry from Alexandria via LeMat-Bulk: PrB2H6 after structural relaxation (GGA-PBE).

energy above the lowest structure with this stoichiometry = 1003 meV/atom

Lattice parameters (Å, degrees): 4.683 4.683 4.683 60.00 60.00 60.00
Fractional coordinates of all 9 atoms:
Pr1 0.000 0.000 0.000
H1 0.363 0.637 0.363
H2 0.637 0.363 0.363
H3 0.363 0.637 0.637
H4 0.637 0.363 0.637
H5 0.637 0.637 0.363
H6 0.363 0.363 0.637
B1 0.750 0.750 0.750
B2 0.250 0.250 0.250



[2]
Entry from Alexandria via LeMat-Bulk: ScIrPb2 after structural relaxation (GGA-PBE).

energy above the lowest structure with this stoichiometry = 267 meV/atom

Lattice parameters (Å, degrees): 5.549 5.549 5.549 134.09 134.09 66.95
Fractional coordinates of all 4 atoms:
Ir1 0.750 0.250 0.500
Pb1 0.000 0.000 0.000
Pb2 0.250 0.750 0.500
Sc1 0.500 0.500 0.000



[3]
Entry from Alexandria via LeMat-Bulk: K2ZnIn3Ga4 after structural relaxation (GGA-PBE).

total DFT energy (no corrections) = -24.593 eV per cell

Lattice parameters (Å, degrees): 4.669 4.669 11.814 90.00 90.00 90.00
Fractional coordinates of all 10 atoms:
K1 0.500 0.000 0.254
K2 0.000 0.500 0.746
Zn1 0.500 0.500 0.500
In1 0.000 0.000 0.500
In2 0.500 0.000 0.863
In3 0.000 0.500 0.137
Ga1 0.500 0.500 0.000
Ga2 0.000 0.000 0.000
Ga3 0.500 0.000 0.628
Ga4 0.000 0.500 0.372



[4]
Entry from Alexandria via LeMat-Bulk: Mn2AsOs after structural relaxation (GGA-PBE).

total DFT energy (no corrections) = -33.001 eV per cell

Lattice parameters (Å, degrees): 2.752 2.752 8.247 90.00 90.00 112.84
Each line ends with the local moment (μB).
Fractional coordinates of all 4 atoms:
As1 0.500 0.500 0.750  -0.03
Mn1 0.000 0.000 0.998  3.05
Mn2 0.000 0.000 0.502  3.05
Os1 0.500 0.500 0.250  0.11



[5]
Entry from Alexandria via LeMat-Bulk: BaGaHPd2 after structural relaxation (GGA-PBE).

total DFT energy (no corrections) = -43.264 eV per cell

Lattice parameters (Å, degrees): 4.137 6.231 7.521 90.00 90.00 109.38
Fractional coordinates of all 10 atoms:
Ba1 0.449 0.897 0.750
Ba2 0.551 0.103 0.250
Ga1 0.724 0.449 0.750
Ga2 0.276 0.551 0.250
H1 0.000 0.000 0.000
H2 0.000 0.000 0.500
Pd1 0.164 0.328 0.944
Pd2 0.836 0.672 0.056
Pd3 0.164 0.328 0.556
Pd4 0.836 0.672 0.444



[6]
Entry from Alexandria via LeMat-Bulk: SrGeTe2 after structural relaxation (GGA-PBE).

total DFT energy (no corrections) = -15.728 eV per cell

Lattice parameters (Å, degrees): 4.450 4.450 8.078 74.01 74.01 60.00
Fractional coordinates of all 4 atoms:
Sr1 0.500 0.500 0.501
Ge1 0.667 0.667 0.998
Te1 0.073 0.073 0.781
Te2 0.260 0.260 0.219



[7]
Entry from Alexandria via LeMat-Bulk: PmAlZn2Ag after structural relaxation (GGA-PBE).

total DFT energy (no corrections) = -15.462 eV per cell

Lattice parameters (Å, degrees): 4.221 4.221 6.318 109.52 109.52 90.00
Fractional coordinates of all 5 atoms:
Pm1 0.000 0.000 0.000
Al1 0.750 0.250 0.500
Zn1 0.610 0.610 0.220
Zn2 0.390 0.390 0.780
Ag1 0.250 0.750 0.500



[8]
Entry from Alexandria via LeMat-Bulk: BaNi2As2 after structural relaxation (GGA-PBE).

total DFT energy (no corrections) = -52.087 eV per cell

Lattice parameters (Å, degrees): 6.565 6.618 6.344 75.54 58.87 60.13
Fractional coordinates of all 10 atoms:
Ba1 0.874 0.750 0.250
Ba2 0.126 0.250 0.750
Ni1 0.491 0.511 0.220
Ni2 0.778 0.010 0.720
Ni3 0.222 0.990 0.280
Ni4 0.509 0.489 0.780
As1 0.543 0.776 0.901
As2 0.779 0.276 0.402
As3 0.457 0.224 0.099
As4 0.221 0.724 0.598



[9]
Entry from Alexandria via LeMat-Bulk: MnTeCI2 after structural relaxation (GGA-PBE).

energy above the lowest structure with this stoichiometry = 0 meV/atom

Lattice parameters (Å, degrees): 5.071 5.071 4.797 90.00 90.00 90.00
Each line ends with the local moment (μB).
Fractional coordinates of all 5 atoms:
I1 0.000 0.500 0.000  0.03
I2 0.500 0.000 0.000  0.03
C1 0.000 0.000 0.000  -0.01
Te1 0.000 0.000 0.500  -0.02
Mn1 0.500 0.500 0.500  4.45



[10]
Entry from Alexandria via LeMat-Bulk: CeDy3Ni8 after structural relaxation (GGA-PBE).

total DFT energy (no corrections) = -71.118 eV per cell

Lattice parameters (Å, degrees): 5.072 5.072 8.778 73.21 73.21 60.00
Each line ends with the local moment (μB).
Fractional coordinates of all 12 atoms:
Ce1 0.874 0.874 0.378  -0.16
Dy1 0.375 0.375 0.874  -0.01
Dy2 0.000 0.000 0.000  -0.01
Dy3 0.500 0.500 0.500  -0.02
Ni1 0.938 0.438 0.187  0.01
Ni2 0.436 0.938 0.688  0.00
Ni3 0.438 0.438 0.187  0.01
Ni4 0.938 0.938 0.688  0.00
Ni5 0.188 0.188 0.437  0.01
Ni6 0.688 0.688 0.937  0.00
Ni7 0.438 0.938 0.187  0.01
Ni8 0.938 0.436 0.688  0.00



[11]
Entry from Alexandria via LeMat-Bulk: Pr5Y4Er3 after structural relaxation (GGA-PBE).

total DFT energy (no corrections) = -60.762 eV per cell

Lattice parameters (Å, degrees): 5.825 5.774 14.456 84.36 78.38 59.70
Fractional coordinates of all 12 atoms:
Pr1 0.669 0.664 0.999
Pr2 0.500 0.500 0.500
Pr3 0.200 0.343 0.256
Pr4 0.800 0.657 0.744
Pr5 0.331 0.336 0.001
Y1 0.063 0.999 0.874
Y2 0.182 0.997 0.638
Y3 0.818 0.003 0.362
Y4 0.937 0.001 0.126
Er1 0.457 0.339 0.747
Er2 0.000 0.500 0.500
Er3 0.543 0.661 0.253



[12]
Entry from Alexandria via LeMat-Bulk: CaZn3 after structural relaxation (GGA-PBE).

total DFT energy (no corrections) = -6.209 eV per cell

Lattice parameters (Å, degrees): 3.377 3.377 6.943 90.00 90.00 90.02
Fractional coordinates of all 4 atoms:
Zn1 0.500 0.500 0.702
Zn2 0.000 0.000 0.500
Zn3 0.500 0.500 0.298
Ca1 0.000 0.000 0.000



Number 1: total moment 0.00 μB/cell. Number 2: total moment 0.00 μB/cell. Number 3: total moment 0.00 μB/cell. Number 4: total moment 6.37 μB/cell. Number 5: total moment 0.00 μB/cell. Number 6: total moment 0.00 μB/cell. Number 7: total moment 0.00 μB/cell. Number 8: total moment 0.00 μB/cell. Number 9: total moment 4.92 μB/cell. Number 10: total moment 0.20 μB/cell. Number 11: total moment 0.00 μB/cell. Number 12: total moment 0.00 μB/cell.